Density functional theory data (PBE-GGA) for a relaxed structure of ScTeCl2.

Structure (CIF):
```
data_ScTeCl2
_chemical_formula_sum 'Sc2 Te2 Cl4'
_space_group_name_H-M_alt 'I m m 2'
_space_group_IT_number 44
_space_group_name_Hall 'I 2 -2'
_cell_length_a 3.226
_cell_length_b 4.839
_cell_length_c 15.809
_cell_angle_alpha 90.00
_cell_angle_beta 90.00
_cell_angle_gamma 90.00
loop_
_atom_site_label
_atom_site_fract_x
_atom_site_fract_y
_atom_site_fract_z
Sc1 0.000 0.000 0.000
Te1 0.000 0.500 0.661
Cl1 0.000 0.000 0.508
Cl2 0.000 0.500 0.380
```

calculated density = 3.28 Mg/m³
formation energy from raw total energies = -1234 meV/atom
Fermi-level density of states = 4.21 states/eV/cell
M_tot = 0.00 μB/atom